Arrangement A

VASP calculation (PBE) on HfInSbTe2 after structural relaxation.

```
data_HfInSbTe2
_symmetry_space_group_name_H-M 'P 4/m m m'
_symmetry_Int_Tables_number 123
_symmetry_space_group_name_Hall '-P 4 2'
_cell_length_a 5.536
_cell_length_b 5.536
_cell_length_c 5.418
_cell_angle_alpha 90.00
_cell_angle_beta 90.00
_cell_angle_gamma 90.00
loop_
_atom_site_label
_atom_site_type_symbol
_atom_site_fract_x
_atom_site_fract_y
_atom_site_fract_z
Hf1 Hf 0.000 0.000 0.000
In1 In 0.500 0.500 0.500
Sb1 Sb 0.500 0.500 0.000
Te1 Te 0.000 0.500 0.500
```

***

Arrangement B

VASP calculation (PBE) on HfInSbTe2 after structural relaxation.

```
data_HfInSbTe2
_symmetry_space_group_name_H-M 'P 4/m m m'
_symmetry_Int_Tables_number 123
_symmetry_space_group_name_Hall '-P 4 2'
_cell_length_a 5.592
_cell_length_b 5.592
_cell_length_c 5.600
_cell_angle_alpha 90.00
_cell_angle_beta 90.00
_cell_angle_gamma 90.00
loop_
_atom_site_label
_atom_site_type_symbol
_atom_site_fract_x
_atom_site_fract_y
_atom_site_fract_z
Hf1 Hf 0.000 0.000 0.000
In1 In 0.500 0.500 0.500
Sb1 Sb 0.000 0.000 0.500
Te1 Te 0.000 0.500 0.000
```

***

Which structure is the most stable? The one labeled arrangement B.

***

Arrangement A

VASP calculation (PBE) on HfScIn2 after structural relaxation.

```
data_HfScIn2
_symmetry_space_group_name_H-M 'R -3 m'
_symmetry_Int_Tables_number 166
_symmetry_space_group_name_Hall '-R 3 2"'
_cell_length_a 3.2992
_cell_length_b 3.2992
_cell_length_c 29.5283
_cell_angle_alpha 90.00
_cell_angle_beta 90.00
_cell_angle_gamma 120.00
loop_
_atom_site_label
_atom_site_type_symbol
_atom_site_fract_x
_atom_site_fract_y
_atom_site_fract_z
Hf1 Hf 0.0000 0.0000 0.0000
Sc1 Sc 0.0000 0.0000 0.5000
In1 In 0.0000 0.0000 0.2495
```

***

Arrangement B

VASP calculation (PBE) on HfScIn2 after structural relaxation.

```
data_HfScIn2
_symmetry_space_group_name_H-M 'C m m m'
_symmetry_Int_Tables_number 65
_symmetry_space_group_name_Hall '-C 2 2'
_cell_length_a 6.327
_cell_length_b 8.865
_cell_length_c 3.136
_cell_angle_alpha 90.00
_cell_angle_beta 90.00
_cell_angle_gamma 90.00
loop_
_atom_site_label
_atom_site_type_symbol
_atom_site_fract_x
_atom_site_fract_y
_atom_site_fract_z
Hf1 Hf 0.000 0.000 0.000
Sc1 Sc 0.000 0.500 0.000
In1 In 0.250 0.250 0.500
```

***

Which structure is the most stable? The one labeled arrangement B.

***

Arrangement A

VASP calculation (PBE) on HfScIn2 after structural relaxation.

```
data_HfScIn2
_symmetry_space_group_name_H-M 'P 4/m m m'
_symmetry_Int_Tables_number 123
_symmetry_space_group_name_Hall '-P 4 2'
_cell_length_a 3.157
_cell_length_b 3.157
_cell_length_c 8.837
_cell_angle_alpha 90.00
_cell_angle_beta 90.00
_cell_angle_gamma 90.00
loop_
_atom_site_label
_atom_site_type_symbol
_atom_site_fract_x
_atom_site_fract_y
_atom_site_fract_z
Hf1 Hf 0.000 0.000 0.000
Sc1 Sc 0.000 0.000 0.500
In1 In 0.500 0.500 0.249
```

***

Arrangement B

VASP calculation (PBE) on HfScIn2 after structural relaxation.

```
data_HfScIn2
_symmetry_space_group_name_H-M 'I -4 2 d'
_symmetry_Int_Tables_number 122
_symmetry_space_group_name_Hall 'I -4 2bw'
_cell_length_a 7.933
_cell_length_b 7.933
_cell_length_c 6.162
_cell_angle_alpha 90.00
_cell_angle_beta 90.00
_cell_angle_gamma 90.00
loop_
_atom_site_label
_atom_site_type_symbol
_atom_site_fract_x
_atom_site_fract_y
_atom_site_fract_z
Hf1 Hf 0.000 0.000 0.000
Sc1 Sc 0.000 0.000 0.500
In1 In 0.249 0.250 0.625
```

***

Arrangement C

VASP calculation (PBE) on HfScIn2 after structural relaxation.

```
data_HfScIn2
_symmetry_space_group_name_H-M 'R 3 m'
_symmetry_Int_Tables_number 160
_symmetry_space_group_name_Hall 'R 3 -2"'
_cell_length_a 3.2880
_cell_length_b 3.2880
_cell_length_c 29.7201
_cell_angle_alpha 90.00
_cell_angle_beta 90.00
_cell_angle_gamma 120.00
loop_
_atom_site_label
_atom_site_type_symbol
_atom_site_fract_x
_atom_site_fract_y
_atom_site_fract_z
Hf1 Hf 0.0000 0.0000 0.0000
Sc1 Sc 0.0000 0.0000 0.1673
In1 In 0.0000 0.0000 0.5828
In2 In 0.0000 0.0000 0.7507
```

***

Arrangement D

VASP calculation (PBE) on HfScIn2 after structural relaxation.

```
data_HfScIn2
_symmetry_space_group_name_H-M 'F m -3 m'
_symmetry_Int_Tables_number 225
_symmetry_space_group_name_Hall '-F 4 2 3'
_cell_length_a 7.084
_cell_length_b 7.084
_cell_length_c 7.084
_cell_angle_alpha 90.00
_cell_angle_beta 90.00
_cell_angle_gamma 90.00
loop_
_atom_site_label
_atom_site_type_symbol
_atom_site_fract_x
_atom_site_fract_y
_atom_site_fract_z
Hf1 Hf 0.000 0.000 0.000
Sc1 Sc 0.000 0.000 0.500
In1 In 0.250 0.250 0.250
```

***

Which structure is the most stable? The one labeled arrangement A.

***

Arrangement A

VASP calculation (PBE) on Hf2ScIn2 after structural relaxation.

```
data_Hf2ScIn2
_symmetry_space_group_name_H-M 'I 4/m m m'
_symmetry_Int_Tables_number 139
_symmetry_space_group_name_Hall '-I 4 2'
_cell_length_a 4.140
_cell_length_b 4.140
_cell_length_c 13.983
_cell_angle_alpha 90.00
_cell_angle_beta 90.00
_cell_angle_gamma 90.00
loop_
_atom_site_label
_atom_site_type_symbol
_atom_site_fract_x
_atom_site_fract_y
_atom_site_fract_z
Hf1 Hf 0.000 0.500 0.250
Sc1 Sc 0.000 0.000 0.000
In1 In 0.000 0.000 0.403
```

***

Arrangement B

VASP calculation (PBE) on Hf2ScIn2 after structural relaxation.

```
data_Hf2ScIn2
_symmetry_space_group_name_H-M 'C m m m'
_symmetry_Int_Tables_number 65
_symmetry_space_group_name_Hall '-C 2 2'
_cell_length_a 3.115
_cell_length_b 23.212
_cell_length_c 3.119
_cell_angle_alpha 90.00
_cell_angle_beta 90.00
_cell_angle_gamma 90.00
loop_
_atom_site_label
_atom_site_type_symbol
_atom_site_fract_x
_atom_site_fract_y
_atom_site_fract_z
Hf1 Hf 0.000 0.194 0.000
Sc1 Sc 0.000 0.000 0.000
In1 In 0.000 0.403 0.500
```

***

Arrangement C

VASP calculation (PBE) on Hf2ScIn2 after structural relaxation.

```
data_Hf2ScIn2
_symmetry_space_group_name_H-M 'P 4/m b m'
_symmetry_Int_Tables_number 127
_symmetry_space_group_name_Hall '-P 4 2ab'
_cell_length_a 7.832
_cell_length_b 7.832
_cell_length_c 3.738
_cell_angle_alpha 90.00
_cell_angle_beta 90.00
_cell_angle_gamma 90.00
loop_
_atom_site_label
_atom_site_type_symbol
_atom_site_fract_x
_atom_site_fract_y
_atom_site_fract_z
Hf1 Hf 0.171 0.329 0.000
Sc1 Sc 0.000 0.000 0.500
In1 In 0.130 0.630 0.500
```

***

Which structure is the most stable? The one labeled arrangement B.

***

Arrangement A

VASP calculation (PBE) on HfSc3In after structural relaxation.

```
data_HfSc3In
_symmetry_space_group_name_H-M 'P m -3 m'
_symmetry_Int_Tables_number 221
_symmetry_space_group_name_Hall '-P 4 2 3'
_cell_length_a 5.270
_cell_length_b 5.270
_cell_length_c 5.270
_cell_angle_alpha 90.00
_cell_angle_beta 90.00
_cell_angle_gamma 90.00
loop_
_atom_site_label
_atom_site_type_symbol
_atom_site_fract_x
_atom_site_fract_y
_atom_site_fract_z
Hf1 Hf 0.000 0.000 0.000
Sc1 Sc 0.000 0.500 0.500
In1 In 0.500 0.500 0.500
```

***

Arrangement B

VASP calculation (PBE) on HfSc3In after structural relaxation.

```
data_HfSc3In
_symmetry_space_group_name_H-M 'P 1 21/m 1'
_symmetry_Int_Tables_number 11
_symmetry_space_group_name_Hall '-P 2yb'
_cell_length_a 5.689
_cell_length_b 5.056
_cell_length_c 8.399
_cell_angle_alpha 90.00
_cell_angle_beta 108.09
_cell_angle_gamma 90.00
loop_
_atom_site_label
_atom_site_type_symbol
_atom_site_fract_x
_atom_site_fract_y
_atom_site_fract_z
Hf1 Hf 0.009 0.250 0.395
Sc1 Sc 0.167 0.750 0.999
Sc2 Sc 0.248 0.250 0.784
Sc3 Sc 0.352 0.750 0.400
In1 In 0.418 0.250 0.194
```

***

Which structure is the most stable? The one labeled arrangement B.

***

Arrangement A

VASP calculation (PBE) on HfSc2In2 after structural relaxation.

```
data_HfSc2In2
_symmetry_space_group_name_H-M 'P 4/m b m'
_symmetry_Int_Tables_number 127
_symmetry_space_group_name_Hall '-P 4 2ab'
_cell_length_a 8.536
_cell_length_b 8.536
_cell_length_c 3.159
_cell_angle_alpha 90.00
_cell_angle_beta 90.00
_cell_angle_gamma 90.00
loop_
_atom_site_label
_atom_site_type_symbol
_atom_site_fract_x
_atom_site_fract_y
_atom_site_fract_z
Hf1 Hf 0.000 0.000 0.000
Sc1 Sc 0.122 0.378 0.000
In1 In 0.177 0.677 0.500
```

***

Arrangement B

VASP calculation (PBE) on HfSc2In2 after structural relaxation.

```
data_HfSc2In2
_symmetry_space_group_name_H-M 'P 4/m b m'
_symmetry_Int_Tables_number 127
_symmetry_space_group_name_Hall '-P 4 2ab'
_cell_length_a 8.056
_cell_length_b 8.056
_cell_length_c 3.560
_cell_angle_alpha 90.00
_cell_angle_beta 90.00
_cell_angle_gamma 90.00
loop_
_atom_site_label
_atom_site_type_symbol
_atom_site_fract_x
_atom_site_fract_y
_atom_site_fract_z
Hf1 Hf 0.000 0.000 0.000
Sc1 Sc 0.174 0.326 0.500
In1 In 0.129 0.629 0.000
```

***

Which structure is the most stable? The one labeled arrangement B.